Material: InIrSe3
Method: DFT, PBE
State: optimized geometry

The electronic total energy is -4.78 eV/atom. The uncorrected formation energy is -0.37 eV per atom. The value obtained for the polymorph energy (0 for the lowest one) is 0.006 eV per atom.

Structure (CIF):
```
data_InIrSe3
_cell_length_a 6.7787
_cell_length_b 11.3686
_cell_length_c 7.0467
_cell_angle_alpha 90.00
_cell_angle_beta 110.99
_cell_angle_gamma 90.00
_symmetry_space_group_name_H-M 'C 1 2/m 1'
_symmetry_Int_Tables_number 12
loop_
_symmetry_equiv_pos_as_xyz
'x,y,z'
'-x,-y,-z'
'-x,y,-z'
'x,-y,z'
'x+1/2,y+1/2,z'
'-x+1/2,-y+1/2,-z'
'-x+1/2,y+1/2,-z'
'x+1/2,-y+1/2,z'
loop_
_atom_site_label
_atom_site_fract_x
_atom_site_fract_y
_atom_site_fract_z
_atom_site_occupancy
In1 0.0000 0.0000 0.0000 1
In2 0.0000 0.5000 0.5000 1
Ir1 0.0000 0.1636 0.5000 1
Se1 0.2024 0.0000 0.7134 1
Se2 0.2380 0.1765 0.2962 1
```